# 1
Compound: NiMoOs2
Source: the Alexandria database
Functional: meta-GGA SCAN
Structure: PBEsol geometry

extended XYZ file:
```
4
Lattice="4.340 -1.347 0.000 4.340 1.347 0.000 -0.761 0.000 4.642" Properties=species:S:1:pos:R:3 pbc="T T T"
Ni 0.000 0.000 0.000
Mo 3.960 0.000 2.321
Os 1.605 0.000 3.557
Os 6.315 0.000 1.085
```

Its offset from the most stable computed form is 0.0166 eV/atom. For the formation energy from the elements, the calculation gives 8.6 kJ per mole of atoms.

---

# 2
Compound: BeTcIN2
Source: the Alexandria database
Functional: meta-GGA SCAN
Structure: PBEsol geometry

extended XYZ file:
```
5
Lattice="3.781 0.000 0.000 0.000 3.781 0.000 0.000 0.000 5.640" Properties=species:S:1:pos:R:3 pbc="T T T"
Be 0.000 0.000 0.000
Tc 1.890 1.890 2.820
I 1.890 1.890 0.000
N 0.000 1.890 2.820
N 1.890 0.000 2.820
```

The calculation puts the uncorrected formation energy at 0.864 eV per atom.

---

# 3
Compound: BaMgBe
Source: the Alexandria database
Functional: meta-GGA SCAN
Structure: PBEsol geometry

extended XYZ file:
```
3
Lattice="-1.733 1.733 6.375 1.733 -1.733 6.375 1.733 1.733 -6.375" Properties=species:S:1:pos:R:3 pbc="T T T"
Ba 0.000 0.000 0.000
Mg 0.000 0.000 9.268
Be 0.000 0.000 4.066
```

Its offset from the most stable computed form is 0.0000 eV/atom. For the formation energy from the elements, the calculation gives 38.7 kJ per mole of atoms.

---

# 4
Compound: LiMn2O4
Source: the Alexandria database
Functional: meta-GGA SCAN
Structure: PBEsol geometry

extended XYZ file:
```
14
Lattice="-2.824 2.854 3.981 2.824 -2.854 3.981 2.824 2.854 -3.981" Properties=species:S:1:pos:R:3 pbc="T T T"
Li -1.412 1.427 1.991
Li 1.412 1.427 1.991
Mn 0.000 0.000 0.000
Mn 1.412 1.427 -1.991
Mn 1.412 -1.427 1.991
Mn 0.000 2.854 0.000
O 2.824 2.741 -2.079
O 1.263 1.427 -0.076
O 2.824 -0.113 2.079
O 1.561 -1.427 3.906
O 1.263 4.280 0.076
O 0.000 2.966 1.902
O 1.561 1.427 4.057
O 0.000 0.113 6.060
```

Its offset from the most stable computed form is 0.0784 eV/atom. The calculation puts the uncorrected formation energy at -2.176 eV per atom.

---

# 5
Compound: Mg2BeCr
Source: the Alexandria database
Functional: meta-GGA SCAN
Structure: PBEsol geometry

extended XYZ file:
```
4
Lattice="3.382 0.000 0.000 0.000 4.232 0.000 0.000 0.000 4.274" Properties=species:S:1:pos:R:3 pbc="T T T"
Mg 0.000 0.000 0.000
Mg 1.691 2.116 0.000
Be 0.000 2.116 2.137
Cr 1.691 0.000 2.137
```

For the formation energy from the elements, the calculation gives 30.3 kJ per mole of atoms.

---

# 6
Compound: Sc2AsRu
Source: the Alexandria database
Functional: meta-GGA SCAN
Structure: PBEsol geometry

extended XYZ file:
```
4
Lattice="-1.905 1.905 4.627 1.905 -1.905 4.627 1.905 1.905 -4.627" Properties=species:S:1:pos:R:3 pbc="T T T"
Sc 0.000 0.000 0.000
Sc 0.000 1.905 2.314
As 0.000 0.000 4.627
Ru 1.905 0.000 2.314
```

For the formation energy from the elements, the calculation gives -67.6 kJ per mole of atoms.

---

# 7
Compound: CrNiP2F
Source: the Alexandria database
Functional: meta-GGA SCAN
Structure: PBEsol geometry

extended XYZ file:
```
5
Lattice="4.220 0.000 0.000 0.000 4.220 0.000 0.000 0.000 4.444" Properties=species:S:1:pos:R:3 pbc="T T T"
Cr 0.000 0.000 0.000
Ni 0.000 0.000 2.222
P 0.000 2.110 0.000
P 2.110 0.000 0.000
F 2.110 2.110 2.222
```

The calculation puts the uncorrected formation energy at 0.316 eV per atom.

---

# 8
Compound: CaHfAsBr2
Source: the Alexandria database
Functional: meta-GGA SCAN
Structure: PBEsol geometry

extended XYZ file:
```
5
Lattice="5.088 0.000 0.000 0.000 5.088 0.000 0.000 0.000 5.810" Properties=species:S:1:pos:R:3 pbc="T T T"
Ca 0.000 0.000 0.000
Hf 2.544 2.544 2.905
As 0.000 0.000 2.905
Br 0.000 2.544 0.000
Br 2.544 0.000 0.000
```

The calculation puts the uncorrected formation energy at -0.032 eV per atom.

---

# 9
Compound: Y2MnCo
Source: the Alexandria database
Functional: meta-GGA SCAN
Structure: PBEsol geometry

extended XYZ file:
```
4
Lattice="1.921 1.109 6.823 -1.921 1.109 6.823 0.000 -2.218 6.823" Properties=species:S:1:pos:R:3 pbc="T T T"
Y 0.000 0.000 0.000
Y 0.000 0.000 3.741
Mn 0.000 0.000 15.561
Co 0.000 0.000 8.598
```

Its offset from the most stable computed form is 0.0000 eV/atom. For the formation energy from the elements, the calculation gives -6.6 kJ per mole of atoms.

---

# 10
Compound: TaInAg
Source: the Alexandria database
Functional: meta-GGA SCAN
Structure: PBEsol geometry

extended XYZ file:
```
3
Lattice="0.000 3.208 3.208 3.208 0.000 3.208 3.208 3.208 0.000" Properties=species:S:1:pos:R:3 pbc="T T T"
Ta 0.000 0.000 0.000
In 4.811 4.811 4.811
Ag 1.604 1.604 1.604
```

For the formation energy from the elements, the calculation gives 84.7 kJ per mole of atoms.

---

# 11
Compound: ZnInMo2
Source: the Alexandria database
Functional: meta-GGA SCAN
Structure: PBEsol geometry

extended XYZ file:
```
4
Lattice="2.707 -4.479 0.000 2.707 4.479 0.000 -0.709 0.000 2.654" Properties=species:S:1:pos:R:3 pbc="T T T"
Zn 0.000 0.000 0.000
In 2.707 0.000 0.000
Mo 0.999 2.240 1.327
Mo 0.999 -2.240 1.327
```

Its offset from the most stable computed form is 0.1145 eV/atom. For the formation energy from the elements, the calculation gives 29.2 kJ per mole of atoms.

---

# 12
Compound: CeSnPd
Source: the Alexandria database
Functional: meta-GGA SCAN
Structure: PBEsol geometry

extended XYZ file:
```
12
Lattice="7.300 0.000 0.000 0.000 4.647 0.000 0.000 0.000 7.844" Properties=species:S:1:pos:R:3 pbc="T T T"
Ce 0.092 1.162 1.590
Ce 3.558 3.485 5.512
Ce 3.741 1.162 2.332
Ce 7.208 3.485 6.254
Sn 1.372 1.162 4.617
Sn 2.278 3.485 0.695
Sn 5.021 1.162 7.149
Sn 5.928 3.485 3.227
Pd 1.509 3.485 3.277
Pd 2.141 1.162 7.199
Pd 5.159 3.485 0.645
Pd 5.790 1.162 4.567
```

For the formation energy from the elements, the calculation gives -91.0 kJ per mole of atoms.

---

What did we get for D(E_F)? Answer: 2.6; 2.6; 1.8; 2.2; 2.2; 2.6; 1.9; 2.3; 3.4; 2.1; 2.2; 15.7 states/eV/cell, in the order shown.